[1]
## CdOsPb (PBE)

Data for a relaxed CdOsPb crystal.

The formation energy is 832.2 meV/atom. The total energy comes out at -53.43 eV for the cell shown.

It has space group Fmm2 (No. 42), with a = 3.2346 Å, b = 5.0352 Å, c = 16.5858 Å, α = 90.00°, β = 90.00° and γ = 90.00°. The asymmetric unit holds Cd at (0.0000, 0.0000, 0.0000), Os at (0.0000, 0.0000, 0.6396) and Pb at (0.0000, 0.0000, 0.2804).

[2]
## V2CuSiPd (PBE)

Data for a relaxed V2CuSiPd crystal.

The total energy comes out at -28.41 eV for the cell shown. The uncorrected formation energy is 0.909 eV/atom.

It has space group P4/mmm (No. 123), with a = 4.4400 Å, b = 4.4400 Å, c = 4.1440 Å, α = 90.00°, β = 90.00° and γ = 90.00°. The asymmetric unit holds V at (0.0000, 0.5000, 0.0000), Cu at (0.0000, 0.0000, 0.0000), Si at (0.0000, 0.0000, 0.5000) and Pd at (0.5000, 0.5000, 0.5000).

[3]
## Hf8RePb2 (PBE)

Data for a relaxed Hf8RePb2 crystal.

The formation energy is 55.0 meV/atom. The total energy comes out at -197.78 eV for the cell shown.

It has space group C2/m (No. 12), with a = 18.5835 Å, b = 4.7619 Å, c = 5.9434 Å, α = 90.00°, β = 107.61° and γ = 90.00°. The asymmetric unit holds Hf at (0.0205, 0.0000, 0.2718), Hf at (0.0822, 0.5000, 0.9887), Hf at (0.1457, 0.5000, 0.5550), Hf at (0.2300, 0.0000, 0.8505), Re at (0.0000, 0.5000, 0.5000) and Pb at (0.1814, 0.0000, 0.2837).

[4]
## LiCd2HAu (PBE)

Data for a relaxed LiCd2HAu crystal.

The total energy comes out at -11.07 eV for the cell shown.

It has space group P4/mmm (No. 123), with a = 4.7364 Å, b = 4.7364 Å, c = 3.4491 Å, α = 90.00°, β = 90.00° and γ = 90.00°. The asymmetric unit holds Li at (0.0000, 0.0000, 0.0000), Cd at (0.0000, 0.5000, 0.5000), H at (0.0000, 0.0000, 0.5000) and Au at (0.5000, 0.5000, 0.0000).

[5]
## Pa2MnSeS4 (PBE)

Data for a relaxed Pa2MnSeS4 crystal.

The total energy comes out at -117.48 eV for the cell shown. The uncorrected formation energy is -1.323 eV/atom.

It has space group C2/m (No. 12), with a = 11.9422 Å, b = 3.8277 Å, c = 7.7593 Å, α = 90.00°, β = 111.24° and γ = 90.00°. The asymmetric unit holds Pa at (0.1782, 0.0000, 0.2078), Mn at (0.0000, 0.0000, 0.5000), Se at (0.0000, 0.5000, 0.0000), S at (0.1276, 0.5000, 0.4406) and S at (0.1664, 0.0000, 0.8179).

[6]
## BaRhW2 (PBE)

Data for a relaxed BaRhW2 crystal.

The formation energy is 687.1 meV/atom. The total energy comes out at -64.86 eV for the cell shown.

It has space group Cmm2 (No. 35), with a = 3.6974 Å, b = 4.6307 Å, c = 9.3871 Å, α = 90.00°, β = 90.00° and γ = 90.00°. The asymmetric unit holds Ba at (0.0000, 0.0000, 0.0000), Rh at (0.0000, 0.5000, 0.2866), W at (0.0000, 0.0000, 0.4765) and W at (0.0000, 0.5000, 0.6866).